(1)
VASP calculation (PBE) on a relaxed structure of GaHgS2.

Spin magnetization: 0.0 μB per cell
ΔE_f (raw): 77 meV/atom
E: -11.28 eV for the cell shown

a = 7.5884 Å, b = 7.5884 Å, c = 7.5884 Å
α = 33.93°, β = 33.93°, γ = 33.93°
Fractional positions:
Ga 0.0000 0.0000 0.0000
Hg 0.5000 0.5000 0.5000
S 0.0981 0.0981 0.0981
S 0.9019 0.9019 0.9019

(2)
VASP calculation (PBE) on a relaxed structure of Tb2HoPd.

Energy of formation from the pure elements: -469 meV per atom
Spin magnetization: 0.0 μB per cell
E: -83.63 eV for the cell shown

a = 7.0232 Å, b = 9.7377 Å, c = 6.4595 Å
α = 90.00°, β = 90.00°, γ = 90.00°
Fractional positions:
Tb 0.1823 0.0592 0.1754
Tb 0.1823 0.4408 0.1754
Tb 0.3177 0.5592 0.6754
Tb 0.3177 0.9408 0.6754
Tb 0.6823 0.0592 0.3246
Tb 0.6823 0.4408 0.3246
Tb 0.8177 0.5592 0.8246
Tb 0.8177 0.9408 0.8246
Ho 0.0246 0.2500 0.6337
Ho 0.4754 0.7500 0.1337
Ho 0.5246 0.2500 0.8663
Ho 0.9754 0.7500 0.3663
Pd 0.1103 0.7500 0.9442
Pd 0.3897 0.2500 0.4442
Pd 0.6103 0.7500 0.5558
Pd 0.8897 0.2500 0.0558

(3)
VASP calculation (PBE) on a relaxed structure of La2CuTe.

Spin magnetization: 0.0 μB per cell
ΔE_f (raw): -723 meV/atom
E: -19.98 eV for the cell shown

a = 8.1835 Å, b = 8.1835 Å, c = 8.1835 Å
α = 30.67°, β = 30.67°, γ = 30.67°
Fractional positions:
La 0.0000 0.0000 0.0000
La 0.1855 0.1855 0.1855
Cu 0.5926 0.5926 0.5926
Te 0.7599 0.7599 0.7599

(4)
VASP calculation (PBE) on a relaxed structure of BeIrPb.

Energy of formation from the pure elements: 320 meV per atom
Spin magnetization: 0.0 μB per cell
E: -15.33 eV for the cell shown

a = 4.1618 Å, b = 4.1618 Å, c = 4.1618 Å
α = 60.00°, β = 60.00°, γ = 60.00°
Fractional positions:
Be 0.0000 0.0000 0.0000
Ir 0.7500 0.7500 0.7500
Pb 0.2500 0.2500 0.2500